The following is a DFT calculation (SCAN) of a crystal of Li2RuW relaxed with PBEsol. Values from VASP.

Output
Symmetry = P4/mmm (123)
Excess energy over the best structure of this formula in the dataset = 0.370 eV/atom
DFT total energy = -0.981 Ha/atom
V = 50 Å³/f.u.

The structure in Quantum ESPRESSO input format:
```
&SYSTEM
  ibrav = 0, nat = 4, ntyp = 3
/
ATOMIC_SPECIES
Li 6.94 Li.upf
Ru 101.07 Ru.upf
W 183.84 W.upf
ATOMIC_POSITIONS crystal
Li 0.0000 0.0000 0.2289
Li 0.0000 0.0000 0.7711
Ru 0.5000 0.5000 0.0000
W 0.5000 0.5000 0.5000
CELL_PARAMETERS angstrom
3.1766 0.0000 0.0000
0.0000 3.1766 0.0000
0.0000 0.0000 4.9602
```

---

The following is a DFT calculation (SCAN) of a crystal of LiRu3W relaxed with PBEsol. Values from VASP.

Output
Symmetry = Pm-3m (221)
DFT total energy = -1.268 Ha/atom
V = 64 Å³/f.u.

The structure in Quantum ESPRESSO input format:
```
&SYSTEM
  ibrav = 0, nat = 5, ntyp = 3
/
ATOMIC_SPECIES
Li 6.94 Li.upf
Ru 101.07 Ru.upf
W 183.84 W.upf
ATOMIC_POSITIONS crystal
Li 0.0000 0.0000 0.0000
Ru 0.0000 0.0000 0.5000
Ru 0.0000 0.5000 0.0000
Ru 0.5000 0.0000 0.0000
W 0.5000 0.5000 0.5000
CELL_PARAMETERS angstrom
4.0087 0.0000 0.0000
0.0000 4.0087 0.0000
0.0000 0.0000 4.0087
```